Entry 1:
Material: BaMgCo2
Method: DFT, PBE
State: relaxed

## Properties
electronic total energy: -4.170 eV/atom
D(E_F): 11.72 states/eV per cell
space-group type: R-3m (166)
ΔH_f (0 K): 0.262 eV/atom

Cell lengths 4.4074, 4.4074, 17.1637 Å; angles 90.00, 90.00, 120.00 degrees
Closest atoms and distances in Å follow each position.
Element x y z (fractional)
Ba 0.0000 0.0000 0.0000  2 Co 3.04
Ba 0.3333 0.6667 0.6667  2 Co 3.04
Ba 0.6667 0.3333 0.3333  2 Co 3.04
Mg 0.0000 0.0000 0.5000  6 Co 2.55
Mg 0.3333 0.6667 0.1667  6 Co 2.55
Mg 0.6667 0.3333 0.8333  6 Co 2.55
Co 0.0000 0.0000 0.1771  3 Mg 2.55, 3 Co 2.57
Co 0.0000 0.0000 0.8229  3 Mg 2.55, 3 Co 2.57
Co 0.3333 0.6667 0.4895  3 Mg 2.55, 3 Co 2.57
Co 0.3333 0.6667 0.8438  3 Mg 2.55, 3 Co 2.57
Co 0.6667 0.3333 0.1562  3 Mg 2.55, 3 Co 2.57
Co 0.6667 0.3333 0.5105  3 Mg 2.55, 3 Co 2.57

***

Entry 2:
Material: PrSi2Au
Method: DFT, PBE
State: relaxed

## Properties
electronic total energy: -5.340 eV/atom
D(E_F): 6.32 states/eV per cell
space-group type: Pnma (62)
uncorrected formation energy: -2.5 eV/f.u.

Cell lengths 13.8828, 4.3072, 10.8127 Å; angles 90.00, 90.00, 90.00 degrees
Closest atoms and distances in Å follow each position.
Element x y z (fractional)
Pr 0.0489 0.2500 0.2481  9 Si 3.13-3.43, 4 Au 3.24-3.38
Pr 0.1947 0.7500 0.9758  10 Si 3.13-3.31, 3 Au 3.25-3.27
Pr 0.3053 0.2500 0.4758  10 Si 3.13-3.31, 3 Au 3.25-3.27
Pr 0.4511 0.7500 0.7481  9 Si 3.13-3.43, 4 Au 3.24-3.38
Pr 0.5489 0.2500 0.2519  9 Si 3.13-3.43, 4 Au 3.24-3.38
Pr 0.6947 0.7500 0.5242  10 Si 3.13-3.31, 3 Au 3.25-3.27
Pr 0.8053 0.2500 0.0242  10 Si 3.13-3.31, 3 Au 3.25-3.27
Pr 0.9511 0.7500 0.7519  9 Si 3.13-3.43, 4 Au 3.24-3.38
Si 0.0251 0.2500 0.9606  3 Si 2.34-2.42
Si 0.1143 0.2500 0.7770  2 Si 2.34-2.43, 1 Au 2.51
Si 0.1322 0.7500 0.4705  1 Si 2.35, 3 Au 2.55-2.58
Si 0.2108 0.7500 0.2776  2 Si 2.35-2.43, 2 Au 2.57
Si 0.2892 0.2500 0.7776  2 Si 2.35-2.43, 2 Au 2.57
Si 0.3678 0.2500 0.9705  1 Si 2.35, 3 Au 2.55-2.58
Si 0.3857 0.7500 0.2770  2 Si 2.34-2.43, 1 Au 2.51
Si 0.4749 0.7500 0.4606  3 Si 2.34-2.42
Si 0.5251 0.2500 0.5394  3 Si 2.34-2.42
Si 0.6143 0.2500 0.7230  2 Si 2.34-2.43, 1 Au 2.51
Si 0.6322 0.7500 0.0295  1 Si 2.35, 3 Au 2.55-2.58
Si 0.7108 0.7500 0.2224  2 Si 2.35-2.43, 2 Au 2.57
Si 0.7892 0.2500 0.7224  2 Si 2.35-2.43, 2 Au 2.57
Si 0.8678 0.2500 0.5295  1 Si 2.35, 3 Au 2.55-2.58
Si 0.8857 0.7500 0.2230  2 Si 2.34-2.43, 1 Au 2.51
Si 0.9749 0.7500 0.0394  3 Si 2.34-2.42
Au 0.0595 0.2500 0.5554  4 Si 2.51-2.68
Au 0.2241 0.7500 0.6777  5 Si 2.57-2.85
Au 0.2759 0.2500 0.1777  5 Si 2.57-2.85
Au 0.4405 0.7500 0.0554  4 Si 2.51-2.68
Au 0.5595 0.2500 0.9446  4 Si 2.51-2.68
Au 0.7241 0.7500 0.8223  5 Si 2.57-2.85
Au 0.7759 0.2500 0.3223  5 Si 2.57-2.85
Au 0.9405 0.7500 0.4446  4 Si 2.51-2.68